First-principles (SCAN) data for a PBEsol-optimized structure of LiAlOs2, as listed in Alexandria.

Calculated values
Density of states at the Fermi level: 2.1 states/eV/f.u.
SG: No. 216
VASP energy: -38.711 eV per atom
Energy relative to the elements: -0.236 eV per atom

Cell: 4.214 4.214 4.214 Å, 60.00 60.00 60.00°
Atoms (fractional coordinates):
Li1 0.000 0.000 0.000
Al1 0.750 0.750 0.750
Os1 0.250 0.250 0.250
Os2 0.500 0.500 0.500